(1)
Here is an optimized crystal structure of BeTcNiSb from the Open Quantum Materials Database. Energies are from PBE-GGA.

The space group is F-43m (No. 216) and the conventional cell measures 6.016, 6.016 and 6.016 Å, with angles of 90.00, 90.00 and 90.00 degrees. The distinct sites, in fractional coordinates, are Be at (0.000, 0.000, 0.000), Tc at (0.250, 0.250, 0.750), Ni at (0.000, 0.000, 0.500) and Sb at (0.250, 0.250, 0.250).

As for the crystal system: cubic.

(2)
Here is an optimized crystal structure of BeTcNiSb from the Open Quantum Materials Database. Energies are from PBE-GGA.

The space group is F-43m (No. 216) and the conventional cell measures 6.029, 6.029 and 6.029 Å, with angles of 90.00, 90.00 and 90.00 degrees. The distinct sites, in fractional coordinates, are Be at (0.000, 0.000, 0.000), Tc at (0.250, 0.250, 0.250), Ni at (0.250, 0.250, 0.750) and Sb at (0.000, 0.000, 0.500).

As for the crystal system: cubic.

(3)
Here is an optimized crystal structure of YBeNiSb from the Open Quantum Materials Database. Energies are from PBE-GGA.

The space group is F-43m (No. 216) and the conventional cell measures 6.527, 6.527 and 6.527 Å, with angles of 90.00, 90.00 and 90.00 degrees. The distinct sites, in fractional coordinates, are Y at (0.000, 0.000, 0.000), Be at (0.250, 0.250, 0.250), Ni at (0.250, 0.250, 0.750) and Sb at (0.000, 0.000, 0.500).

As for the crystal system: cubic.

(4)
Here is an optimized crystal structure of ZrBeNiSb from the Open Quantum Materials Database. Energies are from PBE-GGA.

The space group is F-43m (No. 216) and the conventional cell measures 6.340, 6.340 and 6.340 Å, with angles of 90.00, 90.00 and 90.00 degrees. The distinct sites, in fractional coordinates, are Zr at (0.000, 0.000, 0.000), Be at (0.250, 0.250, 0.250), Ni at (0.250, 0.250, 0.750) and Sb at (0.000, 0.000, 0.500).

As for the crystal system: cubic.

(5)
Here is an optimized crystal structure of ScBeNi2 from the Open Quantum Materials Database. Energies are from PBE-GGA.

The space group is F-43m (No. 216) and the conventional cell measures 5.850, 5.850 and 5.850 Å, with angles of 90.00, 90.00 and 90.00 degrees. The distinct sites, in fractional coordinates, are Sc at (0.000, 0.000, 0.000), Be at (0.250, 0.250, 0.750), Ni at (0.000, 0.000, 0.500) and Ni at (0.250, 0.250, 0.250).

As for the crystal system: cubic.

(6)
Here is an optimized crystal structure of ScBe2Ni2 from the Open Quantum Materials Database. Energies are from PBE-GGA.

The space group is I4/mmm (No. 139) and the conventional cell measures 3.592, 3.592 and 9.336 Å, with angles of 90.00, 90.00 and 90.00 degrees. The distinct sites, in fractional coordinates, are Sc at (0.000, 0.000, 0.000), Be at (0.000, 0.500, 0.250) and Ni at (0.000, 0.000, 0.376).

As for the crystal system: tetragonal.

(7)
Here is an optimized crystal structure of ScBe2Ni2 from the Open Quantum Materials Database. Energies are from PBE-GGA.

The space group is I4/mmm (No. 139) and the conventional cell measures 3.594, 3.594 and 9.139 Å, with angles of 90.00, 90.00 and 90.00 degrees. The distinct sites, in fractional coordinates, are Sc at (0.000, 0.000, 0.000), Be at (0.000, 0.000, 0.381) and Ni at (0.000, 0.500, 0.250).

As for the crystal system: tetragonal.

(8)
Here is an optimized crystal structure of ScBeSiNi from the Open Quantum Materials Database. Energies are from PBE-GGA.

The space group is F-43m (No. 216) and the conventional cell measures 5.867, 5.867 and 5.867 Å, with angles of 90.00, 90.00 and 90.00 degrees. The distinct sites, in fractional coordinates, are Sc at (0.000, 0.000, 0.000), Be at (0.250, 0.250, 0.750), Si at (0.000, 0.000, 0.500) and Ni at (0.250, 0.250, 0.250).

As for the crystal system: cubic.

(9)
Here is an optimized crystal structure of ScBeSiNi from the Open Quantum Materials Database. Energies are from PBE-GGA.

The space group is F-43m (No. 216) and the conventional cell measures 5.926, 5.926 and 5.926 Å, with angles of 90.00, 90.00 and 90.00 degrees. The distinct sites, in fractional coordinates, are Sc at (0.000, 0.000, 0.000), Be at (0.250, 0.250, 0.750), Si at (0.250, 0.250, 0.250) and Ni at (0.000, 0.000, 0.500).

As for the crystal system: cubic.

(10)
Here is an optimized crystal structure of ScBeSiNi from the Open Quantum Materials Database. Energies are from PBE-GGA.

The space group is F-43m (No. 216) and the conventional cell measures 5.945, 5.945 and 5.945 Å, with angles of 90.00, 90.00 and 90.00 degrees. The distinct sites, in fractional coordinates, are Sc at (0.000, 0.000, 0.000), Be at (0.000, 0.000, 0.500), Si at (0.250, 0.250, 0.750) and Ni at (0.250, 0.250, 0.250).

As for the crystal system: cubic.

(11)
Here is an optimized crystal structure of ScBeNiSn from the Open Quantum Materials Database. Energies are from PBE-GGA.

The space group is F-43m (No. 216) and the conventional cell measures 6.320, 6.320 and 6.320 Å, with angles of 90.00, 90.00 and 90.00 degrees. The distinct sites, in fractional coordinates, are Sc at (0.000, 0.000, 0.000), Be at (0.000, 0.000, 0.500), Ni at (0.250, 0.250, 0.750) and Sn at (0.250, 0.250, 0.250).

As for the crystal system: cubic.

(12)
Here is an optimized crystal structure of ScBeNiSn from the Open Quantum Materials Database. Energies are from PBE-GGA.

The space group is F-43m (No. 216) and the conventional cell measures 6.304, 6.304 and 6.304 Å, with angles of 90.00, 90.00 and 90.00 degrees. The distinct sites, in fractional coordinates, are Sc at (0.000, 0.000, 0.000), Be at (0.250, 0.250, 0.250), Ni at (0.000, 0.000, 0.500) and Sn at (0.250, 0.250, 0.750).

As for the crystal system: cubic.

Record-wise E_tot values, in eV/atom: -5.576 -5.856 -5.105 -5.475 -5.468 -5.291 -5.352 -5.648 -5.558 -5.521 -4.992 -5.002
Record-wise magnetic moment values, in μB/cell: 0.00 0.26 0.01 0.03 0.01 0.01 0.00 0.00 0.07 0.03 0.02 0.01